Compound: ErTm2Sc
Source: Alexandria via LeMat-Bulk
Functional: PBE-GGA
Structure: optimized geometry

abc: 5.482 5.482 5.482
angles: 60.00 60.00 60.00
Element x y z (fractional)
Sc (0.000, 0.000, 0.000)
Tm (0.250, 0.250, 0.250)
Tm (0.750, 0.750, 0.750)
Er (0.500, 0.500, 0.500)

- N(E_F) (states/eV per atom) = 2.49
- size of the total moment (μB per cell) = 0.2
- calculated total energy (eV/atom) = -4.821
- distance to the lowest polymorph of the same formula (meV per atom) = 113
- ΔH_f (0 K) (eV per atom) = 0.14
- space group = Fm-3m (225)


Compound: AcPuGa2
Source: Alexandria via LeMat-Bulk
Functional: PBE-GGA
Structure: optimized geometry

abc: 5.332 5.332 5.332
angles: 60.00 60.00 60.00
Each line ends with the local moment (μB).
Element x y z (fractional)
Ac (0.500, 0.500, 0.500)  0.07
Ga (0.250, 0.250, 0.250)  -0.02
Ga (0.750, 0.750, 0.750)  -0.02
Pu (0.000, 0.000, 0.000)  5.44

- N(E_F) (states/eV per atom) = 2.36
- size of the total moment (μB per cell) = 5.8
- calculated total energy (eV/atom) = -6.407
- distance to the lowest polymorph of the same formula (meV per atom) = 34
- ΔH_f (0 K) (eV per atom) = -0.28
- space group = Fm-3m (225)


Compound: SbTeF3
Source: Alexandria via LeMat-Bulk
Functional: PBE-GGA
Structure: optimized geometry

abc: 4.402 6.618 7.467
angles: 76.31 90.03 90.05
Element x y z (fractional)
Sb (0.207, 0.757, 0.665)
Sb (0.707, 0.596, 0.237)
Te (0.369, 0.206, 0.829)
Te (0.869, 0.147, 0.072)
F (0.494, 0.357, 0.391)
F (0.364, 0.618, 0.062)
F (0.943, 0.571, 0.549)
F (0.994, 0.995, 0.510)
F (0.864, 0.736, 0.840)
F (0.443, 0.781, 0.354)

- N(E_F) (states/eV per atom) = 0.16
- size of the total moment (μB per cell) = 0.0
- calculated total energy (eV/atom) = -4.376
- distance to the lowest polymorph of the same formula (meV per atom) = 0
- E_form (uncorrected) (eV/atom) = -1.800
- space group = P2_1 (4)


Compound: Fe2ReRh2
Source: Alexandria via LeMat-Bulk
Functional: PBE-GGA
Structure: optimized geometry

abc: 7.130 7.130 2.694
angles: 90.00 90.00 90.00
Each line ends with the local moment (μB).
Element x y z (fractional)
Re (0.000, 0.000, 0.000)  -0.46
Re (0.500, 0.500, 0.000)  -0.46
Rh (0.370, 0.870, 0.000)  0.23
Rh (0.870, 0.630, 0.000)  0.23
Rh (0.630, 0.130, 0.000)  0.23
Rh (0.130, 0.370, 0.000)  0.23
Fe (0.169, 0.669, 0.500)  2.42
Fe (0.669, 0.831, 0.500)  2.42
Fe (0.831, 0.331, 0.500)  2.42
Fe (0.331, 0.169, 0.500)  2.42

- N(E_F) (states/eV per atom) = 1.31
- size of the total moment (μB per cell) = 9.5
- calculated total energy (eV/atom) = -8.547
- distance to the lowest polymorph of the same formula (meV per atom) = 9
- ΔH_f (0 K) (eV per atom) = 0.27
- space group = P4/mbm (127)


Compound: Tb4CeEr4
Source: Alexandria via LeMat-Bulk
Functional: PBE-GGA
Structure: optimized geometry

abc: 5.006 7.895 7.895
angles: 84.23 71.52 71.52
Each line ends with the local moment (μB).
Element x y z (fractional)
Tb (0.000, 0.668, 0.332)  0.00
Tb (0.000, 0.332, 0.668)  0.00
Tb (0.668, 0.332, 0.332)  0.00
Tb (0.332, 0.668, 0.668)  0.00
Ce (0.000, 0.000, 0.000)  0.80
Er (0.335, 0.331, 0.000)  0.05
Er (0.665, 0.669, 0.000)  0.05
Er (0.665, 0.000, 0.669)  0.05
Er (0.335, 0.000, 0.331)  0.05

- N(E_F) (states/eV per atom) = 1.67
- size of the total moment (μB per cell) = 1.2
- calculated total energy (eV/atom) = -4.704
- ΔH_f (0 K) (eV per atom) = 0.04
- space group = I4/mmm (139)


Compound: Cd6Hg2Pd
Source: Alexandria via LeMat-Bulk
Functional: PBE-GGA
Structure: optimized geometry

abc: 3.551 8.055 8.056
angles: 120.00 90.00 90.00
Element x y z (fractional)
Cd (0.500, 0.640, 0.000)
Cd (0.500, 0.360, 0.360)
Cd (0.500, 0.000, 0.640)
Cd (0.000, 0.272, 0.000)
Cd (0.000, 0.728, 0.728)
Cd (0.000, 0.000, 0.272)
Hg (0.000, 0.333, 0.667)
Hg (0.000, 0.667, 0.333)
Pd (0.500, 0.000, 0.000)

- N(E_F) (states/eV per atom) = 0.38
- size of the total moment (μB per cell) = 0.0
- calculated total energy (eV/atom) = -1.339
- ΔH_f (0 K) (eV per atom) = -0.09
- space group = P-62m (189)


Question: Look up the size of the total moment of the fourth one.
Answer: 9.5 μB per cell


Question: Which formula does entry 2 have?
Answer: AcPuGa2